[1]
Here is a relaxed structure of NaHoMgSe3 from the Open Quantum Materials Database. Energies are from PBE-GGA.

Results
Its space group is No. 11. The total energy is -4.461 eV per atom.

Unit cell a=8.2669 b=4.1870 c=10.2800 alpha=90.00 beta=105.40 gamma=90.00
With the nearest neighbours (Å) after each atom.
Fractional coordinates of all 12 atoms:
Na  0.1844  0.2500  0.1690  5 Se 3.00-3.09
Na  0.8156  0.7500  0.8310  5 Se 3.00-3.09
Ho  0.3321  0.7500  0.8577  6 Se 2.85-3.00
Ho  0.6679  0.2500  0.1423  6 Se 2.85-3.00
Mg  0.0773  0.2500  0.6083  4 Se 2.53-2.63
Mg  0.9227  0.7500  0.3917  4 Se 2.53-2.63
Se  0.0893  0.2500  0.8572  1 Mg 2.53
Se  0.2275  0.7500  0.5548  3 Mg 2.57-2.63
Se  0.4355  0.7500  0.1448  3 Ho 2.85, 2 Na 3.00
Se  0.5645  0.2500  0.8552  3 Ho 2.85, 2 Na 3.00
Se  0.7725  0.2500  0.4452  3 Mg 2.57-2.63
Se  0.9107  0.7500  0.1428  1 Mg 2.53

***

[2]
Here is a relaxed structure of Cu5Ag4 from the Open Quantum Materials Database. Energies are from PBE-GGA.

Results
Its space group is No. 8. For the formation energy, the calculation gives 0.091 eV per atom. The total energy is -3.230 eV per atom.

Unit cell a=6.2003 b=6.2003 c=6.0140 alpha=107.87 beta=107.87 gamma=36.93
With the nearest neighbours (Å) after each atom.
Fractional coordinates of all 9 atoms:
Cu  0.0000  0.0000  0.0000  6 Cu 2.51-2.70, 3 Ag 2.77-2.81
Cu  0.2070  0.2070  0.2982  5 Cu 2.51-2.70, 5 Ag 2.64-2.81
Cu  0.5490  0.5490  0.2978  7 Cu 2.51-2.81, 5 Ag 2.64-2.77
Cu  0.6574  0.6574  0.0005  6 Cu 2.51-2.70, 1 Ag 2.80
Cu  0.8796  0.8796  0.3036  6 Ag 2.62-2.74, 6 Cu 2.65-2.82
Ag  0.1004  0.1004  0.6415  7 Cu 2.73-2.83, 5 Ag 2.75-2.84
Ag  0.3283  0.3283  0.9976  8 Cu 2.62-2.81, 4 Ag 2.84-2.85
Ag  0.4368  0.4368  0.6386  7 Cu 2.74-2.84, 5 Ag 2.75-2.84
Ag  0.7679  0.7679  0.6346  6 Cu 2.71-2.90, 6 Ag 2.79-2.85

***

[3]
Here is a relaxed structure of Zr3Al3CoNiIr from the Open Quantum Materials Database. Energies are from PBE-GGA.

Results
Its space group is No. 174. The total energy is -7.209 eV per atom.

Unit cell a=7.0405 b=7.0405 c=3.4573 alpha=90.00 beta=90.00 gamma=120.00
With the nearest neighbours (Å) after each atom.
Fractional coordinates of all 9 atoms:
Zr  0.0108  0.5958  0.0000  2 Co 2.69, 2 Ir 2.79, 1 Ni 2.88, 2 Al 2.96
Zr  0.4042  0.4149  0.0000  2 Co 2.69, 2 Ir 2.79, 1 Ni 2.88, 2 Al 2.96
Zr  0.5851  0.9892  0.0000  2 Co 2.69, 2 Ir 2.79, 1 Ni 2.88, 2 Al 2.96
Al  0.0002  0.2498  0.5000  2 Ni 2.47, 1 Co 2.69, 1 Ir 2.69
Al  0.2496  0.9998  0.5000  2 Ni 2.47, 1 Co 2.69, 1 Ir 2.69
Al  0.7502  0.7504  0.5000  2 Ni 2.47, 1 Co 2.69, 1 Ir 2.69
Co  0.3333  0.6667  0.5000  3 Al 2.69, 6 Zr 2.69
Ni  0.0000  0.0000  0.0000  6 Al 2.47
Ir  0.6667  0.3333  0.5000  3 Al 2.69, 6 Zr 2.79

***

[4]
Here is a relaxed structure of BaCo10As6 from the Open Quantum Materials Database. Energies are from PBE-GGA.

Results
Its space group is No. 62. The total energy is -6.237 eV per atom.

Unit cell a=16.3485 b=6.8005 c=8.8961 alpha=90.00 beta=90.00 gamma=90.00
With the nearest neighbours (Å) after each atom.
Fractional coordinates of all 68 atoms:
Ba  0.2496  0.2500  0.0412  7 As 3.23-3.52, 5 Co 3.43-3.60
Ba  0.2504  0.7500  0.5412  7 As 3.23-3.52, 5 Co 3.43-3.60
Ba  0.7496  0.2500  0.4588  7 As 3.23-3.52, 5 Co 3.43-3.60
Ba  0.7504  0.7500  0.9588  7 As 3.23-3.52, 5 Co 3.43-3.60
Co  0.0368  0.2500  0.8213  3 As 2.43-2.45, 8 Co 2.62-2.71
Co  0.0655  0.7500  0.7416  4 As 2.28-2.42
Co  0.0691  0.0608  0.5694  4 As 2.31-2.45, 2 Co 2.57-2.58
Co  0.0691  0.4392  0.5694  4 As 2.31-2.45, 2 Co 2.57-2.58
Co  0.0710  0.0005  0.2831  4 As 2.40-2.43, 4 Co 2.56-2.67
Co  0.0710  0.4995  0.2831  4 As 2.40-2.43, 4 Co 2.56-2.67
Co  0.0721  0.5625  0.9998  4 As 2.32-2.42, 4 Co 2.51-2.58
Co  0.0721  0.9375  0.9998  4 As 2.32-2.42, 4 Co 2.51-2.58
Co  0.2016  0.7500  0.9165  4 As 2.29-2.40, 1 Co 2.56
Co  0.2049  0.2500  0.6468  4 As 2.24-2.35
Co  0.2951  0.7500  0.1468  4 As 2.24-2.35
Co  0.2984  0.2500  0.4165  4 As 2.29-2.40, 1 Co 2.56
Co  0.4279  0.0625  0.4998  4 As 2.32-2.42, 4 Co 2.51-2.58
Co  0.4279  0.4375  0.4998  4 As 2.32-2.42, 4 Co 2.51-2.58
Co  0.4290  0.5005  0.7831  4 As 2.40-2.43, 4 Co 2.56-2.67
Co  0.4290  0.9995  0.7831  4 As 2.40-2.43, 4 Co 2.56-2.67
Co  0.4309  0.5608  0.0694  4 As 2.31-2.45, 2 Co 2.57-2.58
Co  0.4309  0.9392  0.0694  4 As 2.31-2.45, 2 Co 2.57-2.58
Co  0.4345  0.2500  0.2416  4 As 2.28-2.42
Co  0.4632  0.7500  0.3213  3 As 2.43-2.45, 8 Co 2.62-2.71
Co  0.5368  0.2500  0.6787  3 As 2.43-2.45, 8 Co 2.62-2.71
Co  0.5655  0.7500  0.7584  4 As 2.28-2.42
Co  0.5691  0.0608  0.9306  4 As 2.31-2.45, 2 Co 2.57-2.58
Co  0.5691  0.4392  0.9306  4 As 2.31-2.45, 2 Co 2.57-2.58
Co  0.5710  0.0005  0.2169  4 As 2.40-2.43, 4 Co 2.56-2.67
Co  0.5710  0.4995  0.2169  4 As 2.40-2.43, 4 Co 2.56-2.67
Co  0.5721  0.5625  0.5002  4 As 2.32-2.42, 4 Co 2.51-2.58
Co  0.5721  0.9375  0.5002  4 As 2.32-2.42, 4 Co 2.51-2.58
Co  0.7016  0.7500  0.5835  4 As 2.29-2.40, 1 Co 2.56
Co  0.7049  0.2500  0.8532  4 As 2.24-2.35
Co  0.7951  0.7500  0.3532  4 As 2.24-2.35
Co  0.7984  0.2500  0.0835  4 As 2.29-2.40, 1 Co 2.56
Co  0.9279  0.0625  0.0002  4 As 2.32-2.42, 4 Co 2.51-2.58
Co  0.9279  0.4375  0.0002  4 As 2.32-2.42, 4 Co 2.51-2.58
Co  0.9290  0.5005  0.7169  4 As 2.40-2.43, 4 Co 2.56-2.67
Co  0.9290  0.9995  0.7169  4 As 2.40-2.43, 4 Co 2.56-2.67
Co  0.9309  0.5608  0.4306  4 As 2.31-2.45, 2 Co 2.57-2.58
Co  0.9309  0.9392  0.4306  4 As 2.31-2.45, 2 Co 2.57-2.58
Co  0.9345  0.2500  0.2584  4 As 2.28-2.42
Co  0.9632  0.7500  0.1787  3 As 2.43-2.45, 8 Co 2.62-2.71
As  0.0430  0.2500  0.0943  8 Co 2.30-2.43
As  0.0460  0.7500  0.4723  7 Co 2.31-2.43
As  0.1483  0.0131  0.7882  6 Co 2.24-2.45
As  0.1483  0.4869  0.7882  6 Co 2.24-2.45
As  0.1544  0.7500  0.1718  6 Co 2.31-2.40
As  0.1563  0.2500  0.3976  6 Co 2.33-2.45
As  0.3437  0.7500  0.8976  6 Co 2.33-2.45
As  0.3456  0.2500  0.6718  6 Co 2.31-2.40
As  0.3517  0.5131  0.2882  6 Co 2.24-2.45
As  0.3517  0.9869  0.2882  6 Co 2.24-2.45
As  0.4540  0.2500  0.9723  7 Co 2.31-2.43
As  0.4570  0.7500  0.5943  8 Co 2.30-2.43
As  0.5430  0.2500  0.4057  8 Co 2.30-2.43
As  0.5460  0.7500  0.0277  7 Co 2.31-2.43
As  0.6483  0.0131  0.7118  6 Co 2.24-2.45
As  0.6483  0.4869  0.7118  6 Co 2.24-2.45
As  0.6544  0.7500  0.3282  6 Co 2.31-2.40
As  0.6563  0.2500  0.1024  6 Co 2.33-2.45
As  0.8437  0.7500  0.6024  6 Co 2.33-2.45
As  0.8456  0.2500  0.8282  6 Co 2.31-2.40
As  0.8517  0.5131  0.2118  6 Co 2.24-2.45
As  0.8517  0.9869  0.2118  6 Co 2.24-2.45
As  0.9540  0.2500  0.5277  7 Co 2.31-2.43
As  0.9570  0.7500  0.9057  8 Co 2.30-2.43